# Ac2Pr4Bi3N2

Ac2Pr4Bi3N2 after structural relaxation (PBE-GGA, Alexandria).

Cell: 4.9649 4.9649 27.4035 Å, 90.00 90.00 90.00°
Closest atoms and distances in Å follow each position.
Space group I4/mmm (No. 139)
Inequivalent atoms, fractional coordinates:
Ac 0.0000 0.0000 0.1907 x4  1 N 2.43
Pr 0.0000 0.5000 0.0811 x8  2 N 2.55
Bi 0.0000 0.0000 0.3250 x4  5 Ac 3.54-3.68, 4 Pr 3.58
Bi 0.0000 0.0000 0.5000 x2  8 Pr 3.33
N 0.0000 0.0000 0.1019 x4  1 Ac 2.43, 4 Pr 2.55

E in eV per atom: -6.068
Density of states at the Fermi level in states/eV/cell: 9.594
Uncorrected formation energy in eV/f.u.: -11.1

# MgBiI2N

MgBiI2N after structural relaxation (PBE-GGA, Alexandria).

Cell: 5.8778 5.8778 3.9515 Å, 90.00 90.00 90.00°
Closest atoms and distances in Å follow each position.
Space group P4/mmm (No. 123)
Inequivalent atoms, fractional coordinates:
Mg 0.0000 0.0000 0.0000 x1  2 N 1.98
Bi 0.5000 0.5000 0.5000 x1  8 I 3.54, 2 Bi 3.95
I 0.0000 0.5000 0.0000 x2  2 Mg 2.94
N 0.0000 0.0000 0.5000 x1  2 Mg 1.98

E in eV per atom: -2.909
Density of states at the Fermi level in states/eV/cell: 8.601
Energy relative to the lowest polymorph listed for this composition in meV per atom: 0.0
Uncorrected formation energy in eV/f.u.: 2.4

# PaZnTc2

PaZnTc2 after structural relaxation (PBE-GGA, Alexandria).

Cell: 4.6612 4.6612 12.4748 Å, 90.00 90.00 120.00°
Closest atoms and distances in Å follow each position.
Space group R-3m (No. 166, hexagonal axes)
Inequivalent atoms, fractional coordinates:
Pa 0.0000 0.0000 0.0000 x3  2 Tc 2.37
Zn 0.0000 0.0000 0.5000 x3  6 Tc 2.71
Tc 0.0000 0.0000 0.1903 x6  1 Pa 2.37

E in eV per atom: -8.036
Density of states at the Fermi level in states/eV/cell: 12.423
Formation enthalpy at 0 K in kJ/mol of atoms: -15.5
Energy relative to the lowest polymorph listed for this composition in meV per atom: 11.6

# Co2TcRh

Co2TcRh after structural relaxation (PBE-GGA, Alexandria).

Cell: 3.7229 3.7229 3.5935 Å, 90.00 90.00 90.00°
Closest atoms and distances in Å follow each position.
Space group P4/mmm (No. 123)
Inequivalent atoms, fractional coordinates:
Co 0.0000 0.5000 0.0000 x2  4 Tc 2.59, 4 Rh 2.59, 4 Co 2.63
Tc 0.0000 0.0000 0.5000 x1  8 Co 2.59, 4 Rh 2.63
Rh 0.5000 0.5000 0.5000 x1  8 Co 2.59, 4 Tc 2.63

E in eV per atom: -7.893
Density of states at the Fermi level in states/eV/cell: 5.451
Formation enthalpy at 0 K in kJ/mol of atoms: 8.6
Energy relative to the lowest polymorph listed for this composition in meV per atom: 55.3

# La2Pr2Tm

La2Pr2Tm after structural relaxation (PBE-GGA, Alexandria).

Cell: 6.4348 5.9351 9.8715 Å, 90.00 108.95 90.00°
Closest atoms and distances in Å follow each position.
Space group P2_1/m (No. 11)
Inequivalent atoms, fractional coordinates:
La 0.0332 0.2500 0.3957 x2  5 La 3.66-3.78, 5 Pr 3.67-3.78, 2 Tm 3.70-3.71
La 0.2357 0.2500 0.8010 x2  3 Tm 3.65-3.71, 3 La 3.66-3.78, 6 Pr 3.68-3.76
Pr 0.1702 0.7500 0.0034 x2  4 Tm 3.64-3.75, 3 Pr 3.68-3.70, 5 La 3.68-3.73
Pr 0.3718 0.7500 0.3993 x2  3 Pr 3.65-3.70, 3 Tm 3.66-3.76, 6 La 3.67-3.78
Tm 0.4336 0.2500 0.1983 x2  7 Pr 3.64-3.76, 5 La 3.65-3.71

E in eV per atom: -4.748
Density of states at the Fermi level in states/eV/cell: 16.110
Formation enthalpy at 0 K in kJ/mol of atoms: 2.8
Energy relative to the lowest polymorph listed for this composition in meV per atom: 0.0

# BaSi8Ni2Rh

BaSi8Ni2Rh after structural relaxation (PBE-GGA, Alexandria).

Cell: 5.0181 5.0181 27.9690 Å, 90.00 90.00 120.00°
Closest atoms and distances in Å follow each position.
Space group R-3 (No. 148, hexagonal axes)
Inequivalent atoms, fractional coordinates:
Ba 0.0000 0.0000 0.0000 x3  12 Si 3.10-3.36, 6 Ni 3.25
Si 0.0000 0.0000 0.3728 x6  3 Si 2.55, 1 Ni 2.58
Si 0.0034 0.3105 0.1065 x18  1 Ni 2.31, 1 Rh 2.41, 1 Si 2.55
Ni 0.0000 0.0000 0.2805 x6  3 Si 2.31
Rh 0.0000 0.0000 0.5000 x3  6 Si 2.41

E in eV per atom: -5.389
Density of states at the Fermi level in states/eV/cell: 18.134
Uncorrected formation energy in eV/f.u.: -0.4